Entry 1:
The following is a DFT calculation (PBE) of a relaxed PPt2Br crystal.

Lattice parameters (Å, degrees): 4.6149 4.6149 4.6149 60.00 60.00 60.00
With the nearest neighbours (Å) after each atom.
Fractional positions:
Br  0.5000  0.5000  0.5000  4 Pt 2.83, 4 P 2.83
Pt  0.0000  0.0000  0.0000  4 Pt 2.83, 4 P 2.83
P  0.7500  0.7500  0.7500  4 Pt 2.83, 4 Br 2.83
Pt  0.2500  0.2500  0.2500  4 Br 2.83, 4 Pt 2.83

Summary:
- raw total energy (eV/atom) = -4.019


Entry 2:
The following is a DFT calculation (PBE) of a relaxed P2PtBr crystal.

Lattice parameters (Å, degrees): 3.7197 3.7281 5.1143 90.03 90.00 90.00
With the nearest neighbours (Å) after each atom.
Fractional positions:
P  0.0000  0.0000  0.0000  2 Br 2.56, 4 P 2.63
Pt  0.5000  0.5000  0.5000  2 P 2.56, 4 Br 2.63
P  0.5000  0.5000  0.0000  2 Pt 2.56, 4 P 2.63
Br  0.0000  0.0000  0.5000  2 P 2.56, 4 Pt 2.63

Summary:
- relative energy among the computed polymorphs (meV/atom) = 719


Entry 3:
The following is a DFT calculation (PBE) of a relaxed P2PtBr crystal.

Lattice parameters (Å, degrees): 4.4767 4.4767 4.4755 69.70 69.70 107.80
With the nearest neighbours (Å) after each atom.
Fractional positions:
Br  0.0000  0.5000  0.5000  4 P 2.56, 2 Pt 2.64
P  0.5000  0.5000  0.0000  2 Pt 2.56, 2 Br 2.56, 2 P 2.64
P  0.0000  0.0000  0.0000  2 Br 2.56, 2 Pt 2.56, 2 P 2.64
Pt  0.5000  0.0000  0.5000  4 P 2.56, 2 Br 2.64

Summary:
- relative energy among the computed polymorphs (meV/atom) = 601


Entry 4:
The following is a DFT calculation (PBE) of a relaxed P2PtBr crystal.

Lattice parameters (Å, degrees): 6.7480 6.7480 6.7480 149.60 147.94 44.77
With the nearest neighbours (Å) after each atom.
Fractional positions:
Br  0.3219  0.8219  0.5000  2 Pt 2.89, 2 P 3.21
P  0.6416  0.1416  0.5000  2 P 2.32, 2 Pt 2.46
Pt  0.5051  0.5051  0.0000  6 P 2.46-2.59
P  0.0314  0.0314  0.0000  2 P 2.32, 4 Pt 2.59

Summary:
- relative energy among the computed polymorphs (meV/atom) = 322